{
  "formula": "ThMgSn2",
  "functional": "PBE-GGA",
  "state": "optimized geometry",
  "cell": [[4.931, 0.000, 0.000], [2.466, 4.270, 0.000], [2.466, 1.423, 5.127]],
  "species": ["Mg", "Sn", "Sn", "Th"],
  "fractional_positions": [[0.500, 0.500, 0.500], [0.770, 0.770, 0.691], [0.230, 0.230, 0.309], [0.000, 0.000, 0.000]],
  "formation_enthalpy_0k_ev_per_atom": -0.2748,
  "energy_ev_per_atom": -4.5298,
  "relative_energy_mev_per_atom": 187,
  "volume_a3_per_cell": 108.0
}